## AcPm8Nd2 (PBE-GGA)

Data for crystalline AcPm8Nd2 at its relaxed geometry.

As for the total energy: -0.335 Ry/atom. For the energy above the lowest structure with this stoichiometry, the calculation gives 13 meV per atom. Its space-group type is C2/m (12). The volume comes out at 36.8 Å³ per atom. The value obtained for the energy of formation is 132 meV per atom. Its total magnetization is 0.00 μB/f.u.

abc: 5.6985 10.4995 10.4995
angles: 40.25 93.65 93.65
Sites, in units of the cell vectors:
Ac: 0.0000 0.0000 0.0000
Pm: 0.2720 0.1354 0.5985
Pm: 0.2720 0.5985 0.1354
Pm: 0.7280 0.8646 0.4015
Pm: 0.2410 0.5443 0.5443
Pm: 0.7280 0.4015 0.8646
Pm: 0.2320 0.1892 0.1892
Pm: 0.7680 0.8108 0.8108
Pm: 0.7590 0.4557 0.4557
Nd: 0.7485 0.2852 0.2852
Nd: 0.2515 0.7148 0.7148

## Ac2PmNd3 (PBE-GGA)

Data for crystalline Ac2PmNd3 at its relaxed geometry.

As for the total energy: -0.327 Ry/atom. For the energy above the lowest structure with this stoichiometry, the calculation gives 61 meV per atom. Its space-group type is Pnnm (58). The volume comes out at 38.0 Å³ per atom. The value obtained for the energy of formation is 91 meV per atom. Its total magnetization is 0.00 μB/f.u.

abc: 6.0263 10.3771 7.2962
angles: 90.00 90.00 90.00
Sites, in units of the cell vectors:
Ac: 0.5000 0.8332 0.2504
Ac: 0.0000 0.3332 0.2496
Ac: 0.0000 0.6668 0.7504
Ac: 0.5000 0.1668 0.7496
Pm: 0.0000 0.0000 0.5000
Pm: 0.5000 0.5000 0.0000
Nd: 0.0000 0.0000 0.0000
Nd: 0.5000 0.5000 0.5000
Nd: 0.5000 0.8322 0.7501
Nd: 0.5000 0.1678 0.2499
Nd: 0.0000 0.3322 0.7499
Nd: 0.0000 0.6678 0.2501

## AcPm2Nd2 (PBE-GGA)

Data for crystalline AcPm2Nd2 at its relaxed geometry.

As for the total energy: -0.332 Ry/atom. For the energy above the lowest structure with this stoichiometry, the calculation gives 65 meV per atom. Its space-group type is I4/mmm (139). The volume comes out at 36.6 Å³ per atom. The value obtained for the energy of formation is 108 meV per atom. Its total magnetization is 0.00 μB/f.u.

abc: 4.3435 4.3435 10.1846
angles: 102.31 102.31 90.00
Sites, in units of the cell vectors:
Ac: 0.0000 0.0000 0.0000
Pm: 0.7986 0.7986 0.5971
Pm: 0.2014 0.2014 0.4029
Nd: 0.6110 0.6110 0.2220
Nd: 0.3890 0.3890 0.7780

## Ac2Pm8Nd3 (PBE-GGA)

Data for crystalline Ac2Pm8Nd3 at its relaxed geometry.

As for the total energy: -0.323 Ry/atom. For the energy above the lowest structure with this stoichiometry, the calculation gives 88 meV per atom. Its space-group type is R-3m (166). The volume comes out at 37.8 Å³ per atom. The value obtained for the energy of formation is 258 meV per atom. Its total magnetization is 0.00 μB/f.u.

abc: 6.7380 6.7380 13.0963
angles: 75.09 75.09 60.00
Sites, in units of the cell vectors:
Ac: 0.6394 0.6394 0.0818
Ac: 0.3606 0.3606 0.9182
Pm: 0.7274 0.7274 0.8179
Pm: 0.2726 0.2726 0.1821
Pm: 0.2216 0.7209 0.3366
Pm: 0.7209 0.2216 0.3366
Pm: 0.7209 0.7209 0.3366
Pm: 0.2791 0.7784 0.6634
Pm: 0.7784 0.2791 0.6634
Pm: 0.2791 0.2791 0.6634
Nd: 0.0000 0.0000 0.0000
Nd: 0.8122 0.8122 0.5634
Nd: 0.1878 0.1878 0.4366

## AcPm2Nd6 (PBE-GGA)

Data for crystalline AcPm2Nd6 at its relaxed geometry.

As for the total energy: -0.341 Ry/atom. For the energy above the lowest structure with this stoichiometry, the calculation gives 0 meV per atom. Its space-group type is C2/m (12). The volume comes out at 35.9 Å³ per atom. The value obtained for the energy of formation is 52 meV per atom. Its total magnetization is 0.00 μB/f.u.

abc: 3.6329 10.1126 12.4632
angles: 113.93 125.58 90.00
Sites, in units of the cell vectors:
Ac: 0.0000 0.0000 0.0000
Pm: 0.3331 0.3334 0.6667
Pm: 0.6669 0.6666 0.3333
Nd: 0.8260 0.0003 0.6631
Nd: 0.1740 0.3372 0.3369
Nd: 0.1740 0.9997 0.3369
Nd: 0.5000 0.3359 0.0000
Nd: 0.8260 0.6628 0.6631
Nd: 0.5000 0.6641 0.0000

## Ac5Pm4Nd4 (PBE-GGA)

Data for crystalline Ac5Pm4Nd4 at its relaxed geometry.

As for the total energy: -0.329 Ry/atom. Its space-group type is I4/m (87). The volume comes out at 38.6 Å³ per atom. The value obtained for the energy of formation is 39 meV per atom. Its total magnetization is 0.00 μB/f.u.

abc: 5.3467 10.0557 10.0557
angles: 85.95 74.58 74.58
Sites, in units of the cell vectors:
Ac: 0.6980 0.8401 0.7639
Ac: 0.3020 0.1599 0.2361
Ac: 0.0000 0.0000 0.0000
Ac: 0.5381 0.7639 0.1599
Ac: 0.4619 0.2361 0.8401
Pm: 0.7653 0.3913 0.0780
Pm: 0.2347 0.6087 0.9220
Pm: 0.8433 0.9220 0.3913
Pm: 0.1567 0.0780 0.6087
Nd: 0.9260 0.4607 0.6873
Nd: 0.6133 0.3127 0.4607
Nd: 0.0740 0.5393 0.3127
Nd: 0.3867 0.6873 0.5393

## Ac5Pm2Nd5 (PBE-GGA)

Data for crystalline Ac5Pm2Nd5 at its relaxed geometry.

As for the total energy: -0.325 Ry/atom. Its space-group type is C2/m (12). The volume comes out at 38.8 Å³ per atom. The value obtained for the energy of formation is 63 meV per atom. Its total magnetization is 0.00 μB/f.u.

abc: 5.9951 9.5579 9.5865
angles: 66.11 71.78 71.72
Sites, in units of the cell vectors:
Ac: 0.8779 0.7848 0.4594
Ac: 0.2516 0.7426 0.7542
Ac: 0.7484 0.2574 0.2458
Ac: 0.1221 0.2152 0.5406
Ac: 0.0000 0.0000 0.0000
Pm: 0.8746 0.4529 0.7980
Pm: 0.1254 0.5471 0.2020
Nd: 0.5000 0.5000 0.5000
Nd: 0.3763 0.2939 0.9536
Nd: 0.3777 0.9615 0.2830
Nd: 0.6223 0.0385 0.7170
Nd: 0.6237 0.7061 0.0464

## AcPm12Nd7 (PBE-GGA)

Data for crystalline AcPm12Nd7 at its relaxed geometry.

As for the total energy: -0.332 Ry/atom. For the energy above the lowest structure with this stoichiometry, the calculation gives 0 meV per atom. Its space-group type is R-3 (148). The volume comes out at 35.8 Å³ per atom. The value obtained for the energy of formation is 208 meV per atom. Its total magnetization is 0.00 μB/f.u.

abc: 8.9507 8.9507 8.9507
angles: 88.17 88.17 88.17
Sites, in units of the cell vectors:
Ac: 0.0000 0.0000 0.0000
Pm: 0.8568 0.2730 0.7220
Pm: 0.7270 0.2780 0.1432
Pm: 0.6242 0.1370 0.4938
Pm: 0.8630 0.5062 0.3758
Pm: 0.2780 0.1432 0.7270
Pm: 0.5062 0.3758 0.8630
Pm: 0.4938 0.6242 0.1370
Pm: 0.7220 0.8568 0.2730
Pm: 0.1370 0.4938 0.6242
Pm: 0.3758 0.8630 0.5062
Pm: 0.2730 0.7220 0.8568
Pm: 0.1432 0.7270 0.2780
Nd: 0.8443 0.6075 0.9355
Nd: 0.3925 0.0645 0.1557
Nd: 0.0645 0.1557 0.3925
Nd: 0.5000 0.5000 0.5000
Nd: 0.9355 0.8443 0.6075
Nd: 0.6075 0.9355 0.8443
Nd: 0.1557 0.3925 0.0645

## Ac2Pm9Nd (PBE-GGA)

Data for crystalline Ac2Pm9Nd at its relaxed geometry.

As for the total energy: -0.340 Ry/atom. Its space-group type is P4/mmm (123). The volume comes out at 36.0 Å³ per atom. The value obtained for the energy of formation is 26 meV per atom. Its total magnetization is 0.00 μB/f.u.

abc: 5.2388 5.2388 15.7223
angles: 90.00 90.00 90.00
Sites, in units of the cell vectors:
Ac: 0.0000 0.0000 0.3317
Ac: 0.0000 0.0000 0.6683
Pm: 0.5000 0.5000 0.0000
Pm: 0.5000 0.5000 0.3309
Pm: 0.5000 0.5000 0.6691
Pm: 0.5000 0.0000 0.1619
Pm: 0.5000 0.0000 0.5000
Pm: 0.5000 0.0000 0.8381
Pm: 0.0000 0.5000 0.1619
Pm: 0.0000 0.5000 0.5000
Pm: 0.0000 0.5000 0.8381
Nd: 0.0000 0.0000 0.0000

## AcPm3Nd5 (PBE-GGA)

Data for crystalline AcPm3Nd5 at its relaxed geometry.

As for the total energy: -0.335 Ry/atom. For the energy above the lowest structure with this stoichiometry, the calculation gives 0 meV per atom. Its space-group type is Cmcm (63). The volume comes out at 36.3 Å³ per atom. The value obtained for the energy of formation is 136 meV per atom. Its total magnetization is 0.00 μB/f.u.

abc: 9.6474 10.3442 7.4034
angles: 90.02 90.00 117.80
Sites, in units of the cell vectors:
Ac: 0.6725 0.0000 0.7500
Ac: 0.3275 0.0000 0.2500
Pm: 0.0000 0.0000 0.0000
Pm: 0.8221 0.6411 0.2500
Pm: 0.0000 0.0000 0.5000
Pm: 0.1779 0.3589 0.7500
Pm: 0.8190 0.6411 0.7500
Pm: 0.1810 0.3589 0.2500
Nd: 0.3073 0.0000 0.7500
Nd: 0.5089 0.6672 0.0032
Nd: 0.8415 0.3329 0.0032
Nd: 0.4911 0.3328 0.9968
Nd: 0.5087 0.6671 0.4968
Nd: 0.6927 0.0000 0.2500
Nd: 0.1583 0.6672 0.5032
Nd: 0.8417 0.3328 0.4968
Nd: 0.4913 0.3329 0.5032
Nd: 0.1585 0.6671 0.9968

## Ac14PmNd (PBE-GGA)

Data for crystalline Ac14PmNd at its relaxed geometry.

As for the total energy: -0.306 Ry/atom. Its space-group type is Amm2 (38). The volume comes out at 43.9 Å³ per atom. The value obtained for the energy of formation is 23 meV per atom. Its total magnetization is 0.00 μB/f.u.

abc: 7.9024 7.9024 11.2475
angles: 90.00 90.00 90.00
Sites, in units of the cell vectors:
Ac: 0.3747 0.6253 0.5000
Ac: 0.8752 0.1248 0.5000
Ac: 0.8735 0.6236 0.0000
Ac: 0.8761 0.6259 0.5000
Ac: 0.3764 0.1265 0.0000
Ac: 0.3741 0.1239 0.5000
Ac: 0.6247 0.8748 0.7555
Ac: 0.6247 0.8748 0.2445
Ac: 0.1252 0.3753 0.7555
Ac: 0.1252 0.3753 0.2445
Ac: 0.1251 0.8749 0.7569
Ac: 0.1251 0.8749 0.2431
Ac: 0.6249 0.3751 0.7540
Ac: 0.6249 0.3751 0.2460
Pm: 0.3753 0.6247 0.0000
Nd: 0.8748 0.1252 0.0000

## Ac5Pm4Nd2 (PBE-GGA)

Data for crystalline Ac5Pm4Nd2 at its relaxed geometry.

As for the total energy: -0.317 Ry/atom. Its space-group type is P2/m (10). The volume comes out at 40.0 Å³ per atom. The value obtained for the energy of formation is 143 meV per atom. Its total magnetization is 0.00 μB/f.u.

abc: 3.7207 12.6434 16.0405
angles: 144.36 90.00 90.00
Sites, in units of the cell vectors:
Ac: 0.0000 0.5920 0.2782
Ac: 0.0000 0.2231 0.1987
Ac: 0.0000 0.5000 0.0000
Ac: 0.0000 0.7769 0.8013
Ac: 0.0000 0.4080 0.7218
Pm: 0.5000 0.6803 0.5365
Pm: 0.5000 0.1555 0.9230
Pm: 0.5000 0.3197 0.4635
Pm: 0.5000 0.8445 0.0770
Nd: 0.0000 0.0286 0.6480
Nd: 0.0000 0.9714 0.3520

- The lowest energy of formation belongs to which entry?
  Ac14PmNd

- The lowest energy of formation belongs to which entry?
  Ac14PmNd